(1)
Here is Tb3B2PdPt9 after structural relaxation from the Alexandria database. Energies are from PBE.

## Properties
Space-group type: P-3m1
Volume: 268 Å³ per cell
Fermi-level density of states: 0.36 states/eV per atom
E_tot: -98.64 eV for the cell shown
Formation energy: -789 meV per atom

Cell lengths 5.6986, 5.6986, 9.5168 Å; angles 90.00, 90.00, 120.00 degrees
Last column: nearest neighbours and their distance in Å.
Fractional positions:
Tb: 0.0000 0.0000 0.0000  12 Pt 2.85-3.10
Tb: 0.3333 0.6667 0.6004  6 Pt 3.08, 3 Pd 3.43
Tb: 0.6667 0.3333 0.3996  6 Pt 3.08, 3 Pd 3.43
B: 0.3333 0.6667 0.1468  6 Pt 2.09-2.16
B: 0.6667 0.3333 0.8532  6 Pt 2.09-2.16
Pd: 0.0000 0.0000 0.5000  6 Pt 2.66
Pt: 0.0000 0.5000 0.0000  2 B 2.16
Pt: 0.1636 0.3271 0.2778  1 B 2.09
Pt: 0.1636 0.8364 0.2778  1 B 2.09
Pt: 0.3271 0.1636 0.7222  1 B 2.09
Pt: 0.5000 0.0000 0.0000  2 B 2.16
Pt: 0.5000 0.5000 0.0000  2 B 2.16
Pt: 0.6729 0.8364 0.2778  1 B 2.09
Pt: 0.8364 0.1636 0.7222  1 B 2.09
Pt: 0.8364 0.6729 0.7222  1 B 2.09

(2)
Here is CsHo5S8 after structural relaxation from the Alexandria database. Energies are from PBE.

## Properties
Space-group type: C2/m
Volume: 384 Å³ per cell
Fermi-level density of states: 0.00 states/eV per atom
E_tot: -85.11 eV for the cell shown
Formation energy from raw total energies: -2.0249 eV per atom

Cell lengths 10.3692, 10.3692, 9.7856 Å; angles 104.27, 104.27, 22.16 degrees
Last column: nearest neighbours and their distance in Å.
Fractional positions:
Cs: 0.0000 0.0000 0.0000  8 S 3.70-4.03, 2 Cs 3.99
Ho: 0.1565 0.1565 0.4508  6 S 2.65-2.89
Ho: 0.2033 0.2033 0.8389  6 S 2.66-2.89
Ho: 0.5000 0.5000 0.5000  6 S 2.72-2.75
Ho: 0.7967 0.7967 0.1611  6 S 2.66-2.89
Ho: 0.8435 0.8435 0.5492  6 S 2.65-2.89
S: 0.0792 0.0792 0.6428  4 Ho 2.72-2.76
S: 0.2708 0.2708 0.3543  5 Ho 2.72-2.89
S: 0.3291 0.3291 0.0110  3 Ho 2.66-2.69
S: 0.4180 0.4180 0.6842  3 Ho 2.65-2.75
S: 0.5820 0.5820 0.3158  3 Ho 2.65-2.75
S: 0.6709 0.6709 0.9890  3 Ho 2.66-2.69
S: 0.7292 0.7292 0.6457  5 Ho 2.72-2.89
S: 0.9208 0.9208 0.3572  4 Ho 2.72-2.76

(3)
Here is TcOs2Br after structural relaxation from the Alexandria database. Energies are from PBE.

## Properties
Space-group type: P2/m
Volume: 62 Å³ per cell
Fermi-level density of states: 0.91 states/eV per atom
E_tot: -30.58 eV for the cell shown
Formation energy from raw total energies: 0.9802 eV per atom

Cell lengths 2.8775, 4.1546, 5.3316 Å; angles 90.00, 104.97, 90.00 degrees
Last column: nearest neighbours and their distance in Å.
Fractional positions:
Tc: 0.0000 0.0000 0.0000  2 Br 2.67, 8 Os 2.81-2.85, 2 Tc 2.88
Os: 0.3704 0.5000 0.7528  1 Os 2.55, 2 Br 2.55, 4 Tc 2.81-2.85
Os: 0.6296 0.5000 0.2472  1 Os 2.55, 2 Br 2.55, 4 Tc 2.81-2.85
Br: 0.0000 0.0000 0.5000  4 Os 2.55, 2 Tc 2.67

(4)
Here is CeOsBr after structural relaxation from the Alexandria database. Energies are from PBE.

## Properties
Space-group type: R-3m
Volume: 175 Å³ per cell
Fermi-level density of states: 1.86 states/eV per atom
E_tot: -43.01 eV for the cell shown
Formation energy from raw total energies: -0.8899 eV per atom

Cell lengths 11.6119, 11.6119, 11.6119 Å; angles 20.95, 20.95, 20.95 degrees
Last column: nearest neighbours and their distance in Å.
Fractional positions:
Ce: 0.0591 0.0591 0.0591  6 Os 3.03-3.31, 3 Br 3.08
Ce: 0.9409 0.9409 0.9409  6 Os 3.03-3.31, 3 Br 3.08
Os: 0.3397 0.3397 0.3397  3 Os 2.48
Os: 0.6603 0.6603 0.6603  3 Os 2.48
Br: 0.2189 0.2189 0.2189  3 Ce 3.08
Br: 0.7811 0.7811 0.7811  3 Ce 3.08

(5)
Here is BeHg3Cl after structural relaxation from the Alexandria database. Energies are from PBE.

## Properties
Space-group type: Pm-3m
Volume: 121 Å³ per cell
Fermi-level density of states: 0.29 states/eV per atom
E_tot: -6.62 eV for the cell shown
Formation energy from raw total energies: -0.0277 eV per atom

Cell lengths 4.9485, 4.9485, 4.9485 Å; angles 90.00, 90.00, 90.00 degrees
Last column: nearest neighbours and their distance in Å.
Fractional positions:
Be: 0.0000 0.0000 0.0000  6 Hg 2.47
Hg: 0.0000 0.0000 0.5000  2 Be 2.47
Hg: 0.0000 0.5000 0.0000  2 Be 2.47
Hg: 0.5000 0.0000 0.0000  2 Be 2.47
Cl: 0.5000 0.5000 0.5000  12 Hg 3.50

(6)
Here is Dy5Zn4Sn after structural relaxation from the Alexandria database. Energies are from PBE.

## Properties
Space-group type: P4/mmm
Volume: 234 Å³ per cell
Fermi-level density of states: 0.85 states/eV per atom
E_tot: -36.16 eV for the cell shown
Formation energy: -405 meV per atom

Cell lengths 3.5913, 3.5913, 18.1771 Å; angles 90.00, 90.00, 90.00 degrees
Last column: nearest neighbours and their distance in Å.
Fractional positions:
Dy: 0.0000 0.0000 0.0000  8 Zn 3.11
Dy: 0.0000 0.0000 0.1939  8 Zn 3.05-3.07
Dy: 0.0000 0.0000 0.3874  4 Zn 3.12, 4 Sn 3.26
Dy: 0.0000 0.0000 0.6126  4 Zn 3.12, 4 Sn 3.26
Dy: 0.0000 0.0000 0.8061  8 Zn 3.05-3.07
Zn: 0.5000 0.5000 0.0988  8 Dy 3.07-3.11, 1 Zn 3.43
Zn: 0.5000 0.5000 0.2873  8 Dy 3.05-3.12
Zn: 0.5000 0.5000 0.7127  8 Dy 3.05-3.12
Zn: 0.5000 0.5000 0.9012  8 Dy 3.07-3.11, 1 Zn 3.43
Sn: 0.5000 0.5000 0.5000  8 Dy 3.26, 4 Sn 3.59

(7)
Here is GdLuMn4 after structural relaxation from the Alexandria database. Energies are from PBE.

## Properties
Space-group type: F-43m
Volume: 93 Å³ per cell
Fermi-level density of states: 1.82 states/eV per atom
E_tot: -54.58 eV for the cell shown
Formation energy: 116 meV per atom

Cell lengths 5.0805, 5.0805, 5.0805 Å; angles 60.00, 60.00, 60.00 degrees
Last column: nearest neighbours and their distance in Å.
Fractional positions:
Gd: 0.0000 0.0000 0.0000  12 Mn 2.98, 4 Lu 3.11
Lu: 0.7500 0.7500 0.7500  12 Mn 2.98, 4 Gd 3.11
Mn: 0.3753 0.3753 0.3753  6 Mn 2.53-2.55
Mn: 0.3753 0.3753 0.8740  6 Mn 2.53-2.55
Mn: 0.3753 0.8740 0.3753  6 Mn 2.53-2.55
Mn: 0.8740 0.3753 0.3753  6 Mn 2.53-2.55

(8)
Here is Cu2TcSnP after structural relaxation from the Alexandria database. Energies are from PBE.

## Properties
Space-group type: P4/mmm
Volume: 102 Å³ per cell
Fermi-level density of states: 0.56 states/eV per atom
E_tot: -24.93 eV for the cell shown
Formation energy: 609 meV per atom

Cell lengths 4.8031, 4.8031, 4.4340 Å; angles 90.00, 90.00, 90.00 degrees
Last column: nearest neighbours and their distance in Å.
Fractional positions:
Cu: 0.0000 0.5000 0.0000  2 Tc 2.40
Cu: 0.5000 0.0000 0.0000  2 Tc 2.40
Tc: 0.0000 0.0000 0.0000  2 P 2.22, 4 Cu 2.40
Sn: 0.5000 0.5000 0.5000  8 Cu 3.27, 4 P 3.40
P: 0.0000 0.0000 0.5000  2 Tc 2.22

(9)
Here is CdFeMo2 after structural relaxation from the Alexandria database. Energies are from PBE.

## Properties
Space-group type: P4/mmm
Volume: 65 Å³ per cell
Fermi-level density of states: 0.97 states/eV per atom
E_tot: -29.57 eV for the cell shown
Formation energy: 369 meV per atom

Cell lengths 3.2770, 3.2770, 6.0424 Å; angles 90.00, 90.00, 90.00 degrees
Last column: nearest neighbours and their distance in Å.
Fractional positions:
Cd: 0.0000 0.0000 0.0000  8 Mo 2.95, 2 Fe 3.02, 4 Cd 3.28
Fe: 0.0000 0.0000 0.5000  8 Mo 2.61
Mo: 0.5000 0.5000 0.3022  1 Mo 2.39, 4 Fe 2.61
Mo: 0.5000 0.5000 0.6978  1 Mo 2.39, 4 Fe 2.61

(10)
Here is BeGeB after structural relaxation from the Alexandria database. Energies are from PBE.

## Properties
Space-group type: P-1
Volume: 73 Å³ per cell
Fermi-level density of states: 0.15 states/eV per atom
E_tot: -28.61 eV for the cell shown
Formation energy: 238 meV per atom

Cell lengths 2.8900, 3.0000, 8.5170 Å; angles 81.42, 88.27, 84.30 degrees
Last column: nearest neighbours and their distance in Å.
Fractional positions:
Be: 0.2474 0.0399 0.3933  5 B 2.02-2.19
Be: 0.7526 0.9601 0.6067  5 B 2.02-2.19
Ge: 0.2330 0.3451 0.8199  1 B 2.24
Ge: 0.7670 0.6549 0.1801  1 B 2.24
B: 0.2471 0.4737 0.5538  2 B 1.70-1.71
B: 0.7529 0.5263 0.4462  2 B 1.70-1.71

(11)
Here is Ti6CuRh2 after structural relaxation from the Alexandria database. Energies are from PBE.

## Properties
Space-group type: C2/m
Volume: 163 Å³ per cell
Fermi-level density of states: 1.52 states/eV per atom
E_tot: -66.56 eV for the cell shown
Formation energy: -43 meV per atom

Cell lengths 7.3352, 7.3352, 4.2610 Å; angles 106.77, 106.77, 48.48 degrees
Last column: nearest neighbours and their distance in Å.
Fractional positions:
Ti: 0.0829 0.5831 0.3329  1 Cu 2.60, 3 Rh 2.60-2.61
Ti: 0.2491 0.7509 0.0000  2 Rh 2.58, 2 Cu 2.61
Ti: 0.4169 0.9171 0.6671  1 Cu 2.60, 3 Rh 2.60-2.61
Ti: 0.5831 0.0829 0.3329  1 Cu 2.60, 3 Rh 2.60-2.61
Ti: 0.7509 0.2491 0.0000  2 Rh 2.58, 2 Cu 2.61
Ti: 0.9171 0.4169 0.6671  1 Cu 2.60, 3 Rh 2.60-2.61
Cu: 0.5000 0.5000 0.5000  8 Ti 2.60-2.61
Rh: 0.1659 0.1659 0.1659  8 Ti 2.58-2.61
Rh: 0.8341 0.8341 0.8341  8 Ti 2.58-2.61

(12)
Here is LiP4Au after structural relaxation from the Alexandria database. Energies are from PBE.

## Properties
Space-group type: F-43m
Volume: 130 Å³ per cell
E_tot: -25.55 eV for the cell shown
Formation energy: 213 meV per atom

Cell lengths 5.6848, 5.6848, 5.6848 Å; angles 60.00, 60.00, 60.00 degrees
Last column: nearest neighbours and their distance in Å.
Fractional positions:
Li: 0.0000 0.0000 0.0000  12 P 3.42, 4 Au 3.48
P: 0.4025 0.4025 0.4025  3 P 2.22
P: 0.4025 0.4025 0.7926  3 P 2.22
P: 0.4025 0.7926 0.4025  3 P 2.22
P: 0.7926 0.4025 0.4025  3 P 2.22
Au: 0.7500 0.7500 0.7500  12 P 3.29, 4 Li 3.48

Copy entry 4 word for word.
Here is CeOsBr after structural relaxation from the Alexandria database. Energies are from PBE.

## Properties
Space-group type: R-3m
Volume: 175 Å³ per cell
Fermi-level density of states: 1.86 states/eV per atom
E_tot: -43.01 eV for the cell shown
Formation energy from raw total energies: -0.8899 eV per atom

Cell lengths 11.6119, 11.6119, 11.6119 Å; angles 20.95, 20.95, 20.95 degrees
Last column: nearest neighbours and their distance in Å.
Fractional positions:
Ce: 0.0591 0.0591 0.0591  6 Os 3.03-3.31, 3 Br 3.08
Ce: 0.9409 0.9409 0.9409  6 Os 3.03-3.31, 3 Br 3.08
Os: 0.3397 0.3397 0.3397  3 Os 2.48
Os: 0.6603 0.6603 0.6603  3 Os 2.48
Br: 0.2189 0.2189 0.2189  3 Ce 3.08
Br: 0.7811 0.7811 0.7811  3 Ce 3.08

Please write out number 2 again, unchanged.
Here is CsHo5S8 after structural relaxation from the Alexandria database. Energies are from PBE.

## Properties
Space-group type: C2/m
Volume: 384 Å³ per cell
Fermi-level density of states: 0.00 states/eV per atom
E_tot: -85.11 eV for the cell shown
Formation energy from raw total energies: -2.0249 eV per atom

Cell lengths 10.3692, 10.3692, 9.7856 Å; angles 104.27, 104.27, 22.16 degrees
Last column: nearest neighbours and their distance in Å.
Fractional positions:
Cs: 0.0000 0.0000 0.0000  8 S 3.70-4.03, 2 Cs 3.99
Ho: 0.1565 0.1565 0.4508  6 S 2.65-2.89
Ho: 0.2033 0.2033 0.8389  6 S 2.66-2.89
Ho: 0.5000 0.5000 0.5000  6 S 2.72-2.75
Ho: 0.7967 0.7967 0.1611  6 S 2.66-2.89
Ho: 0.8435 0.8435 0.5492  6 S 2.65-2.89
S: 0.0792 0.0792 0.6428  4 Ho 2.72-2.76
S: 0.2708 0.2708 0.3543  5 Ho 2.72-2.89
S: 0.3291 0.3291 0.0110  3 Ho 2.66-2.69
S: 0.4180 0.4180 0.6842  3 Ho 2.65-2.75
S: 0.5820 0.5820 0.3158  3 Ho 2.65-2.75
S: 0.6709 0.6709 0.9890  3 Ho 2.66-2.69
S: 0.7292 0.7292 0.6457  5 Ho 2.72-2.89
S: 0.9208 0.9208 0.3572  4 Ho 2.72-2.76

> Which value of volume does entry 5 give?

121 Å³ per cell

> Which formula does entry 7 have?

GdLuMn4